YAlN2O | PBE-GGA | optimized geometry

a b c (Å): 3.7735 3.7735 3.8291
angles (deg): 90.00 90.00 90.00
Last column: nearest neighbours and their distance in Å.
Element x y z (fractional)
Y (0.5000, 0.5000, 0.5000)  4 O 2.67, 8 N 2.69
O (0.0000, 0.0000, 0.5000)  2 Al 1.91
Al (0.0000, 0.0000, 0.0000)  4 N 1.89, 2 O 1.91
N (0.5000, 0.0000, 0.0000)  2 Al 1.89
N (0.0000, 0.5000, 0.0000)  2 Al 1.89

Summary:
D(E_F): 0.67 states/eV/atom
Final energy: -7.56 eV/atom
Energy relative to the elements, uncorrected: -115.7 kJ per mole of atoms

YAlNO2 | PBE-GGA | optimized geometry

a b c (Å): 4.3751 4.3751 4.5889
angles (deg): 90.00 90.00 90.00
Last column: nearest neighbours and their distance in Å.
Element x y z (fractional)
Al (0.5000, 0.5000, 0.5000)  4 N 3.09, 8 O 3.17
O (0.0000, 0.5000, 0.0000)  2 Y 2.19
Y (0.0000, 0.0000, 0.0000)  4 O 2.19, 2 N 2.29
N (0.0000, 0.0000, 0.5000)  2 Y 2.29
O (0.5000, 0.0000, 0.0000)  2 Y 2.19

Summary:
D(E_F): 0.72 states/eV/atom
Final energy: -6.11 eV/atom
Energy relative to the elements, uncorrected: -40.4 kJ per mole of atoms

YAlN2O | PBE-GGA | optimized geometry

a b c (Å): 4.6104 4.6104 4.3283
angles (deg): 90.00 90.00 90.00
Last column: nearest neighbours and their distance in Å.
Element x y z (fractional)
Y (0.0000, 0.0000, 0.0000)  2 O 2.16, 4 N 2.31
N (0.5000, 0.0000, 0.0000)  2 Y 2.31
N (0.0000, 0.5000, 0.0000)  2 Y 2.31
Al (0.5000, 0.5000, 0.5000)  8 N 3.16, 4 O 3.26
O (0.0000, 0.0000, 0.5000)  2 Y 2.16

Summary:
D(E_F): 0.51 states/eV/atom
Final energy: -5.91 eV/atom
Energy relative to the elements, uncorrected: 43.7 kJ per mole of atoms

YAlNO2 | PBE-GGA | optimized geometry

a b c (Å): 3.7338 3.7338 3.8214
angles (deg): 90.00 90.00 90.00
Last column: nearest neighbours and their distance in Å.
Element x y z (fractional)
O (0.5000, 0.0000, 0.0000)  2 Al 1.87
O (0.0000, 0.5000, 0.0000)  2 Al 1.87
Y (0.5000, 0.5000, 0.5000)  4 N 2.64, 8 O 2.67
Al (0.0000, 0.0000, 0.0000)  4 O 1.87, 2 N 1.91
N (0.0000, 0.0000, 0.5000)  2 Al 1.91

Summary:
D(E_F): 0.56 states/eV/atom
Final energy: -7.82 eV/atom
Energy relative to the elements, uncorrected: -205.9 kJ per mole of atoms

AlZnNO2 | PBE-GGA | optimized geometry

a b c (Å): 3.7238 3.7238 3.9503
angles (deg): 90.00 90.00 90.00
Last column: nearest neighbours and their distance in Å.
Element x y z (fractional)
Al (0.5000, 0.5000, 0.5000)  4 N 2.63, 8 O 2.71
Zn (0.0000, 0.0000, 0.0000)  4 O 1.86, 2 N 1.98
O (0.5000, 0.0000, 0.0000)  2 Zn 1.86
O (0.0000, 0.5000, 0.0000)  2 Zn 1.86
N (0.0000, 0.0000, 0.5000)  2 Zn 1.98

Summary:
D(E_F): 0.66 states/eV/atom
Final energy: -4.32 eV/atom
Energy relative to the elements, uncorrected: 32.4 kJ per mole of atoms

AlZnNO2 | PBE-GGA | optimized geometry

a b c (Å): 3.6826 3.6826 3.8514
angles (deg): 90.00 90.00 90.00
Last column: nearest neighbours and their distance in Å.
Element x y z (fractional)
O (0.5000, 0.0000, 0.0000)  2 Al 1.84
O (0.0000, 0.5000, 0.0000)  2 Al 1.84
Zn (0.5000, 0.5000, 0.5000)  4 N 2.60, 8 O 2.66
N (0.0000, 0.0000, 0.5000)  2 Al 1.93
Al (0.0000, 0.0000, 0.0000)  4 O 1.84, 2 N 1.93

Summary:
D(E_F): 0.24 states/eV/atom
Final energy: -5.26 eV/atom
Energy relative to the elements, uncorrected: -59.0 kJ per mole of atoms

Which value of D(E_F) does entry 2 give? 0.72 states/eV/atom